Entry 1:
Sm6Zn5 | GGA-PBE | relaxed

Summary:
- symmetry = Immm
- E (eV per atom) = -3.39
- N(E_F) (states/eV per atom) = 1.1571
- volume (Å³/f.u.) = 283.2
- spin magnetization (μB/f.u.) = 0.00
- energy of formation (eV per formula unit) = -2.63

Unit cell a=5.100 b=7.280 c=8.828 alpha=114.35 beta=106.79 gamma=90.00
Fractional positions:
Sm1 0.164 0.412 0.328
Sm2 0.164 0.916 0.328
Sm3 0.836 0.084 0.672
Sm4 0.836 0.588 0.672
Sm5 0.500 0.751 0.000
Sm6 0.500 0.249 0.000
Zn1 0.332 0.332 0.663
Zn2 0.000 0.500 0.000
Zn3 0.668 0.668 0.337
Zn4 0.327 0.827 0.654
Zn5 0.673 0.173 0.346

Entry 2:
Sm13Zn2 | GGA-PBE | relaxed

Summary:
- symmetry = P-1
- E (eV per atom) = -4.30
- N(E_F) (states/eV per atom) = 1.3285
- volume (Å³/f.u.) = 470.4
- spin magnetization (μB/f.u.) = 0.00
- energy of formation (eV per formula unit) = -0.64

Unit cell a=6.458 b=8.502 c=9.411 alpha=111.21 beta=78.25 gamma=97.95
Fractional positions:
Sm1 0.532 0.367 0.582
Sm2 0.529 0.793 0.838
Sm3 0.278 0.011 0.645
Sm4 0.749 0.595 0.056
Sm5 0.251 0.405 0.944
Sm6 0.471 0.207 0.162
Sm7 0.791 0.175 0.761
Sm8 0.000 0.000 0.000
Sm9 0.209 0.825 0.239
Sm10 0.468 0.633 0.418
Sm11 0.722 0.989 0.355
Sm12 0.045 0.578 0.698
Sm13 0.955 0.422 0.302
Zn1 0.121 0.207 0.457
Zn2 0.879 0.793 0.543

Entry 3:
Sm4Zn | GGA-PBE | relaxed

Summary:
- symmetry = Ibam
- E (eV per atom) = -4.07
- N(E_F) (states/eV per atom) = 1.5100
- volume (Å³/f.u.) = 151.1
- spin magnetization (μB/f.u.) = 0.00
- energy of formation (eV per formula unit) = -0.21

Unit cell a=8.913 b=5.929 c=8.861 alpha=70.46 beta=59.80 gamma=48.31
Fractional positions:
Zn1 0.000 0.250 0.000
Zn2 0.000 0.750 0.000
Sm1 0.960 0.855 0.370
Sm2 0.571 0.344 0.169
Sm3 0.429 0.656 0.831
Sm4 0.260 0.156 0.169
Sm5 0.740 0.844 0.831
Sm6 0.670 0.645 0.370
Sm7 0.040 0.145 0.630
Sm8 0.330 0.355 0.630

Entry 4:
Sm5Zn6 | GGA-PBE | relaxed

Summary:
- symmetry = Immm
- E (eV per atom) = -3.01
- N(E_F) (states/eV per atom) = 0.8952
- volume (Å³/f.u.) = 279.2
- spin magnetization (μB/f.u.) = 0.00
- energy of formation (eV per formula unit) = -1.91

Unit cell a=5.070 b=7.244 c=8.794 alpha=114.31 beta=106.75 gamma=90.03
Fractional positions:
Zn1 0.500 0.267 0.000
Zn2 0.163 0.407 0.325
Zn3 0.500 0.733 0.000
Zn4 0.837 0.593 0.675
Zn5 0.837 0.081 0.675
Zn6 0.163 0.919 0.325
Sm1 0.329 0.329 0.658
Sm2 0.346 0.846 0.691
Sm3 0.000 0.500 0.000
Sm4 0.671 0.671 0.342
Sm5 0.654 0.154 0.309

Entry 5:
SmZn4 | GGA-PBE | relaxed

Summary:
- symmetry = Pm-3m
- E (eV per atom) = -1.05
- N(E_F) (states/eV per atom) = 1.0880
- volume (Å³/f.u.) = 188.8
- spin magnetization (μB/f.u.) = 0.00
- energy of formation (eV per formula unit) = 4.58

Unit cell a=5.736 b=5.736 c=5.736 alpha=90.00 beta=90.00 gamma=90.00
Fractional positions:
Sm1 0.500 0.500 0.500
Zn1 0.000 0.000 0.000
Zn2 0.000 0.500 0.500
Zn3 0.500 0.000 0.500
Zn4 0.500 0.500 0.000

Entry 6:
Sm4Zn | GGA-PBE | relaxed

Summary:
- symmetry = I4/mmm
- E (eV per atom) = -4.15
- N(E_F) (states/eV per atom) = 1.1085
- volume (Å³/f.u.) = 150.1
- spin magnetization (μB/f.u.) = 0.00
- energy of formation (eV per formula unit) = -0.60

Unit cell a=3.642 b=3.642 c=11.608 alpha=99.03 beta=99.03 gamma=90.00
Fractional positions:
Sm1 0.580 0.580 0.159
Sm2 0.194 0.194 0.388
Sm3 0.420 0.420 0.841
Sm4 0.806 0.806 0.612
Zn1 0.000 0.000 0.000

Entry 7:
SmZn | GGA-PBE | relaxed

Summary:
- symmetry = Pm-3m
- E (eV per atom) = -3.31
- N(E_F) (states/eV per atom) = 1.3334
- volume (Å³/f.u.) = 48.3
- spin magnetization (μB/f.u.) = 0.00
- energy of formation (eV per formula unit) = -0.63

Unit cell a=3.642 b=3.642 c=3.642 alpha=90.00 beta=90.00 gamma=90.00
Fractional positions:
Sm1 0.000 0.000 0.000
Zn1 0.500 0.500 0.500

Entry 8:
Sm5Zn3 | GGA-PBE | relaxed

Summary:
- symmetry = P4/mmm
- E (eV per atom) = -3.66
- N(E_F) (states/eV per atom) = 1.1648
- volume (Å³/f.u.) = 213.8
- spin magnetization (μB/f.u.) = 0.00
- energy of formation (eV per formula unit) = -1.86

Unit cell a=3.656 b=3.656 c=16.001 alpha=90.00 beta=90.00 gamma=90.00
Fractional positions:
Zn1 0.000 0.000 0.500
Zn2 0.500 0.500 0.113
Zn3 0.500 0.500 0.887
Sm1 0.000 0.000 0.223
Sm2 0.000 0.000 0.777
Sm3 0.500 0.500 0.612
Sm4 0.500 0.500 0.388
Sm5 0.000 0.000 0.000

Entry 9:
Sm3Zn11 | GGA-PBE | relaxed

Summary:
- symmetry = Immm
- E (eV per atom) = -2.34
- N(E_F) (states/eV per atom) = 0.6168
- volume (Å³/f.u.) = 260.1
- spin magnetization (μB/f.u.) = 0.00
- energy of formation (eV per formula unit) = -4.58

Unit cell a=8.238 b=8.238 c=8.238 alpha=148.43 beta=115.42 gamma=73.66
Fractional positions:
Zn1 0.422 0.141 0.282
Zn2 0.297 0.655 0.641
Zn3 0.014 0.655 0.359
Zn4 0.703 0.345 0.359
Zn5 0.986 0.345 0.641
Zn6 0.500 0.000 0.500
Zn7 0.141 0.859 0.282
Zn8 0.578 0.859 0.718
Zn9 0.323 0.500 0.823
Zn10 0.859 0.141 0.718
Zn11 0.677 0.500 0.177
Sm1 0.294 0.294 0.000
Sm2 0.706 0.706 0.000
Sm3 0.000 0.000 0.000

Entry 10:
Sm6Zn23 | GGA-PBE | relaxed

Summary:
- symmetry = Fm-3m
- E (eV per atom) = -2.29
- N(E_F) (states/eV per atom) = 0.3572
- volume (Å³/f.u.) = 529.4
- spin magnetization (μB/f.u.) = 0.00
- energy of formation (eV per formula unit) = -8.83

Unit cell a=9.080 b=9.080 c=9.080 alpha=60.00 beta=60.00 gamma=60.00
Fractional positions:
Zn1 0.624 0.624 0.624
Zn2 0.828 0.517 0.828
Zn3 0.000 0.500 0.000
Zn4 0.500 0.000 0.500
Zn5 0.376 0.873 0.376
Zn6 0.873 0.376 0.376
Zn7 0.624 0.624 0.127
Zn8 0.172 0.172 0.483
Zn9 0.500 0.500 0.500
Zn10 0.376 0.376 0.376
Zn11 0.500 0.000 0.000
Zn12 0.000 0.500 0.500
Zn13 0.828 0.828 0.517
Zn14 0.376 0.376 0.873
Zn15 0.127 0.624 0.624
Zn16 0.000 0.000 0.500
Zn17 0.483 0.172 0.172
Zn18 0.624 0.127 0.624
Zn19 0.828 0.828 0.828
Zn20 0.172 0.483 0.172
Zn21 0.500 0.500 0.000
Zn22 0.172 0.172 0.172
Zn23 0.517 0.828 0.828
Sm1 0.789 0.789 0.211
Sm2 0.211 0.211 0.789
Sm3 0.789 0.211 0.211
Sm4 0.211 0.789 0.789
Sm5 0.789 0.211 0.789
Sm6 0.211 0.789 0.211

Entry 11:
Sm4Zn3 | GGA-PBE | relaxed

Summary:
- symmetry = R-3m
- E (eV per atom) = -3.34
- N(E_F) (states/eV per atom) = 1.3538
- volume (Å³/f.u.) = 193.3
- spin magnetization (μB/f.u.) = 0.00
- energy of formation (eV per formula unit) = -0.67

Unit cell a=5.066 b=5.066 c=9.176 alpha=73.98 beta=73.98 gamma=60.00
Fractional positions:
Sm1 0.708 0.708 0.876
Sm2 0.876 0.876 0.372
Sm3 0.292 0.292 0.124
Sm4 0.124 0.124 0.628
Zn1 0.593 0.593 0.220
Zn2 0.407 0.407 0.780
Zn3 0.500 0.500 0.500

Entry 12:
Sm3Zn22 | GGA-PBE | relaxed

Summary:
- symmetry = I4_1/amd
- E (eV per atom) = -1.95
- N(E_F) (states/eV per atom) = 0.3223
- volume (Å³/f.u.) = 415.8
- spin magnetization (μB/f.u.) = 0.00
- energy of formation (eV per formula unit) = -6.60

Unit cell a=8.862 b=8.862 c=12.304 alpha=111.11 beta=111.11 gamma=90.00
Fractional positions:
Zn1 0.125 0.375 0.250
Zn2 0.083 0.556 0.628
Zn3 0.277 0.499 0.997
Zn4 0.720 0.499 0.997
Zn5 0.806 0.295 0.128
Zn6 0.862 0.015 0.725
Zn7 0.501 0.280 0.003
Zn8 0.008 0.655 0.015
Zn9 0.008 0.360 0.015
Zn10 0.640 0.992 0.985
Zn11 0.388 0.041 0.775
Zn12 0.265 0.612 0.225
Zn13 0.928 0.917 0.372
Zn14 0.705 0.194 0.872
Zn15 0.167 0.678 0.872
Zn16 0.242 0.095 0.485
Zn17 0.322 0.295 0.128
Zn18 0.959 0.612 0.225
Zn19 0.985 0.138 0.275
Zn20 0.973 0.251 0.503
Zn21 0.610 0.758 0.515
Zn22 0.905 0.758 0.515
Zn23 0.345 0.992 0.985
Zn24 0.928 0.455 0.372
Zn25 0.545 0.556 0.628
Zn26 0.083 0.072 0.628
Zn27 0.322 0.833 0.128
Zn28 0.705 0.678 0.872
Zn29 0.749 0.027 0.497
Zn30 0.625 0.875 0.750
Zn31 0.501 0.723 0.003
Zn32 0.530 0.251 0.503
Zn33 0.388 0.735 0.775
Zn34 0.167 0.194 0.872
Zn35 0.749 0.470 0.497
Zn36 0.806 0.833 0.128
Zn37 0.242 0.390 0.485
Zn38 0.125 0.875 0.250
Zn39 0.125 0.875 0.750
Zn40 0.444 0.455 0.372
Zn41 0.291 0.138 0.275
Zn42 0.862 0.709 0.725
Zn43 0.545 0.072 0.628
Zn44 0.444 0.917 0.372
Sm1 0.000 0.000 0.000
Sm2 0.871 0.371 0.743
Sm3 0.379 0.379 0.757
Sm4 0.629 0.129 0.257
Sm5 0.250 0.750 0.500
Sm6 0.621 0.621 0.243